## TlNi2Se (PBE-GGA)

Data for TlNi2Se after structural relaxation.

```
data_TlNi2Se
_chemical_formula_sum 'Tl2 Ni4 Se2'
_symmetry_space_group_name_H-M 'I m m m'
_symmetry_Int_Tables_number 71
_symmetry_space_group_name_Hall '-I 2 2'
_cell_length_a 3.898
_cell_length_b 5.683
_cell_length_c 6.494
_cell_angle_alpha 90.00
_cell_angle_beta 90.00
_cell_angle_gamma 90.00
loop_
_atom_site_label
_atom_site_fract_x
_atom_site_fract_y
_atom_site_fract_z
Tl1 0.000 0.000 0.000
Ni1 0.000 0.500 0.197
Se1 0.000 0.000 0.500
```

E_form (uncorrected): 0.28 eV per atom
Size of the total moment: 0.000 μB per atom
Polymorph energy (0 for the lowest one): 0.264 eV/atom

***

## TlNi2Ir (PBE-GGA)

Data for TlNi2Ir after structural relaxation.

```
data_TlNi2Ir
_chemical_formula_sum 'Tl1 Ni2 Ir1'
_symmetry_space_group_name_H-M 'P m m 2'
_symmetry_Int_Tables_number 25
_cell_length_a 2.852
_cell_length_b 4.397
_cell_length_c 4.645
_cell_angle_alpha 90.00
_cell_angle_beta 90.00
_cell_angle_gamma 90.00
loop_
_symmetry_equiv_pos_as_xyz
'x,y,z'
'-x,-y,z'
'-x,y,z'
'x,-y,z'
loop_
_atom_site_label
_atom_site_fract_x
_atom_site_fract_y
_atom_site_fract_z
Tl1 0.000 0.000 0.000
Ni1 0.500 0.000 0.497
Ni2 0.500 0.500 0.152
Ir1 0.000 0.500 0.610
```

Size of the total moment: 0.000 μB per atom
Polymorph energy (0 for the lowest one): 0.006 eV/atom
ΔE_f: 300.8 meV per atom

***

## K4AgI5 (PBE-GGA)

Data for K4AgI5 after structural relaxation.

```
data_K4AgI5
_chemical_formula_sum 'K8 Ag2 I10'
_symmetry_space_group_name_H-M 'I 4'
_symmetry_Int_Tables_number 79
_cell_length_a 10.929
_cell_length_b 10.929
_cell_length_c 7.146
_cell_angle_alpha 90.00
_cell_angle_beta 90.00
_cell_angle_gamma 90.00
loop_
_symmetry_equiv_pos_as_xyz
'x,y,z'
'-y,x,z'
'-x,-y,z'
'y,-x,z'
'x+1/2,y+1/2,z+1/2'
'-y+1/2,x+1/2,z+1/2'
'-x+1/2,-y+1/2,z+1/2'
'y+1/2,-x+1/2,z+1/2'
loop_
_atom_site_label
_atom_site_fract_x
_atom_site_fract_y
_atom_site_fract_z
K1 0.093 0.300 0.000
Ag1 0.000 0.000 0.427
I1 0.000 0.000 0.023
I2 0.089 0.272 0.501
```

E_form (uncorrected): -1.20 eV per atom
Size of the total moment: 0.000 μB per atom

***

## CuTeAu2 (PBE-GGA)

Data for CuTeAu2 after structural relaxation.

```
data_CuTeAu2
_chemical_formula_sum 'Cu2 Te2 Au4'
_symmetry_space_group_name_H-M 'I m m 2'
_symmetry_Int_Tables_number 44
_cell_length_a 4.001
_cell_length_b 4.322
_cell_length_c 8.809
_cell_angle_alpha 90.00
_cell_angle_beta 90.00
_cell_angle_gamma 90.00
loop_
_symmetry_equiv_pos_as_xyz
'x,y,z'
'-x,-y,z'
'-x,y,z'
'x,-y,z'
'x+1/2,y+1/2,z+1/2'
'-x+1/2,-y+1/2,z+1/2'
'-x+1/2,y+1/2,z+1/2'
'x+1/2,-y+1/2,z+1/2'
loop_
_atom_site_label
_atom_site_fract_x
_atom_site_fract_y
_atom_site_fract_z
Cu1 0.000 0.000 0.000
Te1 0.000 0.500 0.735
Au1 0.000 0.000 0.506
Au2 0.000 0.500 0.275
```

E_form (uncorrected): 0.18 eV per atom
Size of the total moment: 0.000 μB per atom

***

## KCd2PO4 (PBE-GGA)

Data for KCd2PO4 after structural relaxation.

```
data_KCd2PO4
_chemical_formula_sum 'K4 Cd8 P4 O16'
_symmetry_space_group_name_H-M 'F m m 2'
_symmetry_Int_Tables_number 42
_symmetry_space_group_name_Hall 'F 2 -2'
_cell_length_a 6.929
_cell_length_b 7.929
_cell_length_c 10.192
_cell_angle_alpha 90.00
_cell_angle_beta 90.00
_cell_angle_gamma 90.00
loop_
_atom_site_label
_atom_site_fract_x
_atom_site_fract_y
_atom_site_fract_z
K1 0.000 0.000 0.000
Cd1 0.250 0.250 0.270
P1 0.000 0.000 0.540
O1 0.000 0.162 0.453
O2 0.183 0.000 0.633
```

E_form (uncorrected): -1.48 eV per atom
Size of the total moment: 0.000 μB per atom

***

## MnNb2TcN (PBE-GGA)

Data for MnNb2TcN after structural relaxation.

```
data_MnNb2TcN
_chemical_formula_sum 'Mn1 Nb2 Tc1 N1'
_symmetry_space_group_name_H-M 'P 4/m m m'
_symmetry_Int_Tables_number 123
_symmetry_space_group_name_Hall '-P 4 2'
_cell_length_a 4.349
_cell_length_b 4.349
_cell_length_c 3.620
_cell_angle_alpha 90.00
_cell_angle_beta 90.00
_cell_angle_gamma 90.00
loop_
_atom_site_label
_atom_site_fract_x
_atom_site_fract_y
_atom_site_fract_z
Mn1 0.000 0.000 0.000
Nb1 0.000 0.500 0.500
Tc1 0.500 0.500 0.000
N1 0.000 0.000 0.500
```

E_form (uncorrected): -0.36 eV per atom
Size of the total moment: 0.000 μB per atom

***

## Ho3MgSb4 (PBE-GGA)

Data for Ho3MgSb4 after structural relaxation.

```
data_Ho3MgSb4
_chemical_formula_sum 'Ho3 Mg1 Sb4'
_symmetry_space_group_name_H-M 'P m -3 m'
_symmetry_Int_Tables_number 221
_symmetry_space_group_name_Hall '-P 4 2 3'
_cell_length_a 6.161
_cell_length_b 6.161
_cell_length_c 6.161
_cell_angle_alpha 90.00
_cell_angle_beta 90.00
_cell_angle_gamma 90.00
loop_
_atom_site_label
_atom_site_fract_x
_atom_site_fract_y
_atom_site_fract_z
Ho1 0.000 0.000 0.500
Mg1 0.500 0.500 0.500
Sb1 0.000 0.000 0.000
Sb2 0.000 0.500 0.500
```

E_form (uncorrected): -0.82 eV per atom
Size of the total moment: 0.000 μB per atom

***

## Rb2CdBi2 (PBE-GGA)

Data for Rb2CdBi2 after structural relaxation.

```
data_Rb2CdBi2
_chemical_formula_sum 'Rb8 Cd4 Bi8'
_symmetry_space_group_name_H-M 'I b a m'
_symmetry_Int_Tables_number 72
_symmetry_space_group_name_Hall '-I 2 2c'
_cell_length_a 8.030
_cell_length_b 15.599
_cell_length_c 7.362
_cell_angle_alpha 90.00
_cell_angle_beta 90.00
_cell_angle_gamma 90.00
loop_
_atom_site_label
_atom_site_fract_x
_atom_site_fract_y
_atom_site_fract_z
Rb1 0.182 0.141 0.000
Cd1 0.000 0.500 0.250
Bi1 0.194 0.390 0.000
```

Size of the total moment: 0.074 μB per atom
Polymorph energy (0 for the lowest one): 0.116 eV/atom
ΔE_f: -143.2 meV per atom

***

## Ca4MgSe (PBE-GGA)

Data for Ca4MgSe after structural relaxation.

```
data_Ca4MgSe
_chemical_formula_sum 'Ca16 Mg4 Se4'
_symmetry_space_group_name_H-M 'F -4 3 m'
_symmetry_Int_Tables_number 216
_symmetry_space_group_name_Hall 'F -4 2 3'
_cell_length_a 9.527
_cell_length_b 9.527
_cell_length_c 9.527
_cell_angle_alpha 90.00
_cell_angle_beta 90.00
_cell_angle_gamma 90.00
loop_
_atom_site_label
_atom_site_fract_x
_atom_site_fract_y
_atom_site_fract_z
Ca1 0.125 0.125 0.125
Mg1 0.250 0.250 0.750
Se1 0.000 0.000 0.500
```

E_form (uncorrected): 0.13 eV per atom
Size of the total moment: 0.119 μB per atom

***

## BaPm2Se5 (PBE-GGA)

Data for BaPm2Se5 after structural relaxation.

```
data_BaPm2Se5
_chemical_formula_sum 'Ba4 Pm8 Se20'
_symmetry_space_group_name_H-M 'C m c m'
_symmetry_Int_Tables_number 63
_symmetry_space_group_name_Hall '-C 2c 2'
_cell_length_a 4.449
_cell_length_b 15.862
_cell_length_c 16.184
_cell_angle_alpha 90.00
_cell_angle_beta 90.00
_cell_angle_gamma 90.00
loop_
_atom_site_label
_atom_site_fract_x
_atom_site_fract_y
_atom_site_fract_z
Ba1 0.000 0.018 0.250
Pm1 0.000 0.278 0.102
Se1 0.000 0.142 0.520
Se2 0.000 0.343 0.674
Se3 0.000 0.376 0.250
```

E_form (uncorrected): -1.62 eV per atom
Size of the total moment: 0.000 μB per atom

***

## Pm4Y8Ho (PBE-GGA)

Data for Pm4Y8Ho after structural relaxation.

```
data_Pm4Y8Ho
_chemical_formula_sum 'Pm12 Y24 Ho3'
_symmetry_space_group_name_H-M 'R -3 m'
_symmetry_Int_Tables_number 166
_symmetry_space_group_name_Hall '-R 3 2"'
_cell_length_a 7.3927
_cell_length_b 7.3927
_cell_length_c 27.4822
_cell_angle_alpha 90.00
_cell_angle_beta 90.00
_cell_angle_gamma 120.00
loop_
_atom_site_label
_atom_site_fract_x
_atom_site_fract_y
_atom_site_fract_z
Pm1 0.0000 0.0000 0.0000
Pm2 0.0000 0.5000 0.0000
Y1 0.0000 0.0000 0.2156
Y2 0.0357 0.5178 0.7686
Ho1 0.0000 0.0000 0.5000
```

Size of the total moment: 0.000 μB per atom
ΔE_f: 206.3 meV per atom

***

## CaPm3Au2 (PBE-GGA)

Data for CaPm3Au2 after structural relaxation.

```
data_CaPm3Au2
_chemical_formula_sum 'Ca2 Pm6 Au4'
_symmetry_space_group_name_H-M 'P m c 21'
_symmetry_Int_Tables_number 26
_cell_length_a 5.047
_cell_length_b 9.150
_cell_length_c 7.482
_cell_angle_alpha 90.00
_cell_angle_beta 90.00
_cell_angle_gamma 90.00
loop_
_symmetry_equiv_pos_as_xyz
'x,y,z'
'-x,-y,z+1/2'
'-x,y,z'
'x,-y,z+1/2'
loop_
_atom_site_label
_atom_site_fract_x
_atom_site_fract_y
_atom_site_fract_z
Ca1 0.000 0.073 0.000
Pm1 0.000 0.332 0.635
Pm2 0.500 0.173 0.334
Pm3 0.500 0.423 0.970
Au1 0.000 0.350 0.234
Au2 0.500 0.151 0.731
```

Size of the total moment: 0.000 μB per atom
Polymorph energy (0 for the lowest one): 0.000 eV/atom
ΔE_f: -572.4 meV per atom

***

Please write out number 1 again, unchanged.
## TlNi2Se (PBE-GGA)

Data for TlNi2Se after structural relaxation.

```
data_TlNi2Se
_chemical_formula_sum 'Tl2 Ni4 Se2'
_symmetry_space_group_name_H-M 'I m m m'
_symmetry_Int_Tables_number 71
_symmetry_space_group_name_Hall '-I 2 2'
_cell_length_a 3.898
_cell_length_b 5.683
_cell_length_c 6.494
_cell_angle_alpha 90.00
_cell_angle_beta 90.00
_cell_angle_gamma 90.00
loop_
_atom_site_label
_atom_site_fract_x
_atom_site_fract_y
_atom_site_fract_z
Tl1 0.000 0.000 0.000
Ni1 0.000 0.500 0.197
Se1 0.000 0.000 0.500
```

E_form (uncorrected): 0.28 eV per atom
Size of the total moment: 0.000 μB per atom
Polymorph energy (0 for the lowest one): 0.264 eV/atom

***

Look up the size of the total moment of the eighth one. 0.074 μB per atom